First-principles (PBE) data for crystalline Pr4Mn at its relaxed geometry, as listed in Alexandria via LeMat-Bulk.

Calculated values
The value obtained for the formation energy from the elements is 0.303 eV per atom.

```
5
Lattice="5.487 0.000 0.000 0.000 5.487 0.000 0.000 0.000 5.487" Properties=species:S:1:pos:R:3 pbc="T T T"
Pr 0.000 0.000 0.000
Pr 0.000 2.744 2.744
Pr 2.744 0.000 2.744
Pr 2.744 2.744 0.000
Mn 2.744 2.744 2.744
```


First-principles (PBE) data for crystalline TlBPd2Au at its relaxed geometry, as listed in Alexandria via LeMat-Bulk.

Calculated values
The value obtained for the formation energy from the elements is 0.030 eV per atom.

```
5
Lattice="4.342 0.000 0.000 0.000 4.342 0.000 0.000 0.000 4.380" Properties=species:S:1:pos:R:3 pbc="T T T"
Tl 0.000 0.000 0.000
B 2.171 2.171 2.190
Pd 0.000 2.171 2.190
Pd 2.171 0.000 2.190
Au 2.171 2.171 0.000
```


First-principles (PBE) data for crystalline Rb2H3I at its relaxed geometry, as listed in Alexandria via LeMat-Bulk.

Calculated values
The polymorph energy (0 for the lowest one) is 505 meV/atom.

```
24
Lattice="0.000 8.801 9.551 3.968 0.000 9.551 3.968 8.801 0.000" Properties=species:S:1:pos:R:3 pbc="T T T"
Rb 0.992 2.200 0.700
Rb 0.992 2.200 4.075
Rb 2.976 6.601 5.484
Rb 2.976 6.601 8.842
Rb 4.961 11.001 10.260
Rb 4.961 11.001 13.617
Rb 6.945 15.402 15.026
Rb 6.945 15.402 18.402
H 5.114 5.086 7.154
H 2.976 0.688 7.163
H 5.114 8.116 7.173
H 7.098 9.486 11.948
H 4.961 5.089 11.939
H 7.098 12.516 11.929
H 0.839 5.086 7.173
H 2.976 12.513 7.163
H 0.839 8.116 7.154
H 2.823 9.486 11.929
H 4.961 16.914 11.939
H 2.823 12.516 11.948
I 2.976 2.405 7.163
I 4.961 6.806 11.939
I 2.976 10.796 7.163
I 4.961 15.197 11.939
```